Arrangement one

The following is a DFT calculation (GGA-PBE) of a geometry-optimized Ac3Ag2Pd4 structure.

abc: 4.6970 4.6970 24.1160
angles: 90.00 90.00 120.00
Space group P-6m2 (No. 187)
One atom of each set of equivalent atoms:
Ac 0.0000 0.0000 0.0798 (multiplicity 2)
Ac 0.0000 0.0000 0.2502 (multiplicity 2)
Ac 0.0000 0.0000 0.4082 (multiplicity 2)
Ag 0.3333 0.6667 0.5000 (multiplicity 1)
Ag 0.6667 0.3333 0.1652 (multiplicity 2)
Ag 0.6667 0.3333 0.5000 (multiplicity 1)
Pd 0.3333 0.6667 0.0000 (multiplicity 1)
Pd 0.3333 0.6667 0.1660 (multiplicity 2)
Pd 0.3333 0.6667 0.3324 (multiplicity 2)
Pd 0.6667 0.3333 0.0000 (multiplicity 1)
Pd 0.6667 0.3333 0.3312 (multiplicity 2)

=====

Arrangement two

The following is a DFT calculation (GGA-PBE) of a geometry-optimized Ac3Ag2Pd4 structure.

abc: 10.572 4.653 9.166
angles: 90.00 96.69 90.00
Space group C2/m (No. 12)
One atom of each set of equivalent atoms:
Ac 0.000 0.000 0.000 (multiplicity 2)
Ac 0.124 0.500 0.377 (multiplicity 4)
Ag 0.184 0.500 0.775 (multiplicity 4)
Pd 0.082 0.000 0.631 (multiplicity 4)
Pd 0.218 0.500 0.083 (multiplicity 4)

=====

Short version: arrangement two is the least stable of them.

=====

Arrangement one

The following is a DFT calculation (GGA-PBE) of a geometry-optimized AcAg3Pd2 structure.

abc: 6.3781 6.3781 21.4253
angles: 90.00 90.00 120.00
Space group R-3m (No. 166, hexagonal axes)
One atom of each set of equivalent atoms:
Ac 0.0000 0.0000 0.2287 (multiplicity 6)
Ag 0.0201 0.5101 0.2293 (multiplicity 18)
Pd 0.0000 0.0000 0.0000 (multiplicity 3)
Pd 0.0000 0.5000 0.0000 (multiplicity 9)

=====

Arrangement two

The following is a DFT calculation (GGA-PBE) of a geometry-optimized AcAg3Pd2 structure.

abc: 5.5668 5.5668 4.6976
angles: 90.00 90.00 120.00
Space group P6/mmm (No. 191)
One atom of each set of equivalent atoms:
Ac 0.0000 0.0000 0.0000 (multiplicity 1)
Ag 0.0000 0.5000 0.5000 (multiplicity 3)
Pd 0.3333 0.6667 0.0000 (multiplicity 2)

=====

Short version: arrangement one is the least stable of them.

=====

Arrangement one

The following is a DFT calculation (GGA-PBE) of a geometry-optimized Ac4AgPd2 structure.

abc: 12.874 14.986 9.389
angles: 90.00 90.00 90.00
Space group Fdd2 (No. 43)
One atom of each set of equivalent atoms:
Ac 0.047 0.378 0.000 (multiplicity 16)
Ac 0.125 0.075 0.147 (multiplicity 16)
Ag 0.000 0.000 0.822 (multiplicity 8)
Pd 0.056 0.290 0.704 (multiplicity 16)

=====

Arrangement two

The following is a DFT calculation (GGA-PBE) of a geometry-optimized Ac4AgPd2 structure.

abc: 9.958 9.958 9.950
angles: 90.00 90.00 90.00
Space group I4_1/amd (No. 141, origin choice 2)
One atom of each set of equivalent atoms:
Ac 0.000 0.060 0.205 (multiplicity 16)
Ag 0.000 0.250 0.875 (multiplicity 4)
Pd 0.000 0.000 0.500 (multiplicity 8)

=====

Short version: arrangement two is the least stable of them.